DFT (PBE) results for a geometry-optimized CoSb2IrPd structure.

Values from the calculation:
The uncorrected formation energy is 0.79 eV/atom. As for the symmetry: No. 123. As for the density of states at the Fermi level: 6.11 states/eV/cell.

The structure in POSCAR format:
```
CoSb2IrPd
1.0
5.031 0.000 0.000
0.000 5.031 0.000
0.000 0.000 4.700
Co Sb Ir Pd
1 2 1 1
Direct
0.000 0.000 0.000 Co
0.000 0.500 0.500 Sb
0.500 0.000 0.500 Sb
0.000 0.000 0.500 Ir
0.500 0.500 0.000 Pd
```